Entry 1:
Sr3La3Zn2RuO12 (meta-GGA SCAN, single point on PBEsol structure); volume = 13.68 Å³ per atom; space group = Cm (8); calculated total energy = -390.69 eV/cell; uncorrected formation energy = -57.92 eV/f.u.
1.0
6.288 -2.753 0.000
6.288 2.753 0.000
-6.247 0.000 8.301
Sr La Zn Ru O
3 3 2 1 12
Cartesian
0.000 0.000 0.000
-3.540 0.000 5.556
0.088 0.000 5.475
2.790 0.000 2.525
6.290 0.000 2.599
9.086 0.000 0.050
-1.616 0.000 2.735
-1.614 0.000 8.232
4.526 0.000 5.469
-1.677 1.404 6.818
2.392 0.000 0.063
4.558 1.367 1.361
0.497 0.000 2.852
4.358 1.334 4.096
-1.677 -1.404 6.818
2.536 0.000 5.678
6.798 0.000 0.021
4.558 -1.367 1.361
8.527 0.000 2.470
6.519 0.000 5.265
4.358 -1.334 4.096


Entry 2:
SrLaZnRuO6 (meta-GGA SCAN, single point on PBEsol structure); volume = 12.23 Å³ per atom; space group = Pc (7); calculated total energy = -350.42 eV/cell; uncorrected formation energy = -24.10 eV/f.u.
1.0
5.552 0.000 0.000
0.000 5.614 0.000
-5.542 0.000 7.845
Sr La Zn Ru O
2 2 2 2 12
Cartesian
0.000 1.201 0.000
-2.771 4.413 3.923
-0.083 1.657 3.933
2.688 3.958 0.010
2.740 1.369 1.967
-0.031 4.246 5.890
-2.804 1.396 5.882
-0.033 4.218 1.960
-4.327 2.581 6.163
-1.556 3.034 2.240
-1.123 0.198 2.289
-3.894 5.416 6.212
1.129 2.677 1.652
-1.641 2.938 5.575
-1.230 0.279 5.556
1.541 5.336 1.633
-2.432 1.519 7.785
0.339 4.095 3.862
2.287 1.331 3.978
5.058 4.283 0.056